A plane-wave DFT calculation with PBE was carried out for Zr2CoTcTe after structural relaxation.

Cell: 4.992 4.992 4.998 Å, 90.00 90.00 90.00°
Sites, in units of the cell vectors:
Zr 0.000 0.500 0.000
Zr 0.500 0.000 0.000
Co 0.000 0.000 0.500
Tc 0.500 0.500 0.000
Te 0.500 0.500 0.500

Values from the calculation:
Space-group type: P4/mmm, No. 123
N(E_F) in states/eV per atom: 0.93
Spin magnetization in Bohr magnetons per cell: 1.780
Distance to the lowest polymorph of the same formula in eV per formula unit: 1.73
Raw formation energy in eV per formula unit: 4.1

---

A plane-wave DFT calculation with PBE was carried out for MnSe3 after structural relaxation.

Cell: 4.727 4.727 4.200 Å, 90.00 90.00 113.29°
Sites, in units of the cell vectors:
Mn 0.000 0.000 0.000
Se 0.000 0.500 0.500
Se 0.500 0.000 0.500
Se 0.500 0.500 0.000

Values from the calculation:
Space-group type: Cmmm, No. 65
N(E_F) in states/eV per atom: 0.70
Spin magnetization in Bohr magnetons per cell: 3.782
Raw formation energy in eV per formula unit: 1.6

---

A plane-wave DFT calculation with PBE was carried out for Mg3HRh after structural relaxation.

Cell: 4.144 4.144 4.144 Å, 90.00 90.00 90.00°
Sites, in units of the cell vectors:
Mg 0.000 0.000 0.500
Mg 0.000 0.500 0.000
Mg 0.500 0.000 0.000
H 0.000 0.000 0.000
Rh 0.500 0.500 0.500

Values from the calculation:
Space-group type: Pm-3m, No. 221
N(E_F) in states/eV per atom: 0.34
Spin magnetization in Bohr magnetons per cell: 0.000
Distance to the lowest polymorph of the same formula in eV per formula unit: 0.19

---

A plane-wave DFT calculation with PBE was carried out for MnAl2Zn after structural relaxation.

Cell: 8.685 8.685 8.685 Å, 18.63 18.63 18.63°
Sites, in units of the cell vectors:
Mn 0.000 0.000 0.000
Al 0.254 0.254 0.254
Al 0.746 0.746 0.746
Zn 0.500 0.500 0.500

Values from the calculation:
Space-group type: R-3m, No. 166
Calculated total energy in eV/atom: -4.529
N(E_F) in states/eV per atom: 0.61
Spin magnetization in Bohr magnetons per cell: 2.323

---

A plane-wave DFT calculation with PBE was carried out for Re2Mo after structural relaxation.

Cell: 5.476 4.219 7.998 Å, 90.00 90.00 90.00°
Sites, in units of the cell vectors:
Re 0.045 0.250 0.239
Re 0.158 0.250 0.571
Re 0.342 0.750 0.071
Re 0.455 0.750 0.739
Re 0.545 0.250 0.261
Re 0.658 0.250 0.929
Re 0.842 0.750 0.429
Re 0.955 0.750 0.761
Mo 0.162 0.250 0.907
Mo 0.338 0.750 0.407
Mo 0.662 0.250 0.593
Mo 0.838 0.750 0.093

Values from the calculation:
Space-group type: Pnma, No. 62
N(E_F) in states/eV per atom: 0.89
Spin magnetization in Bohr magnetons per cell: 0.000
Distance to the lowest polymorph of the same formula in eV per formula unit: 0.16

---

A plane-wave DFT calculation with PBE was carried out for Ac2In4GaPd3 after structural relaxation.

Cell: 4.655 4.655 11.250 Å, 90.00 90.00 90.00°
Sites, in units of the cell vectors:
Ac 0.000 0.500 0.247
Ac 0.500 0.000 0.753
In 0.000 0.000 0.500
In 0.000 0.500 0.869
In 0.500 0.000 0.131
In 0.500 0.500 0.500
Ga 0.500 0.500 0.000
Pd 0.000 0.000 0.000
Pd 0.000 0.500 0.632
Pd 0.500 0.000 0.368

Values from the calculation:
Space-group type: P-4m2, No. 115
Calculated total energy in eV/atom: -4.389
N(E_F) in states/eV per atom: 0.65
Spin magnetization in Bohr magnetons per cell: 0.000

---

A plane-wave DFT calculation with PBE was carried out for BeAgMo2 after structural relaxation.

Cell: 2.727 4.169 5.307 Å, 90.00 97.55 90.00°
Sites, in units of the cell vectors:
Be 0.000 0.000 0.000
Ag 0.938 0.500 0.742
Mo 0.357 0.000 0.459
Mo 0.572 0.500 0.212

Values from the calculation:
Space-group type: Pm, No. 6
Calculated total energy in eV/atom: -6.746
N(E_F) in states/eV per atom: 0.59
Spin magnetization in Bohr magnetons per cell: 0.000

---

A plane-wave DFT calculation with PBE was carried out for Pr6P2PbSe3 after structural relaxation.

Cell: 9.650 9.650 8.692 Å, 103.07 103.07 25.66°
Sites, in units of the cell vectors:
Pr 0.006 0.006 0.264
Pr 0.328 0.328 0.427
Pr 0.328 0.328 0.898
Pr 0.672 0.672 0.102
Pr 0.672 0.672 0.573
Pr 0.994 0.994 0.736
P 0.169 0.169 0.336
P 0.831 0.831 0.664
Pb 0.500 0.500 0.000
Se 0.165 0.165 0.832
Se 0.500 0.500 0.500
Se 0.835 0.835 0.168

Values from the calculation:
Space-group type: C2/m, No. 12
N(E_F) in states/eV per atom: 0.41
Spin magnetization in Bohr magnetons per cell: 0.000
Raw formation energy in eV per formula unit: -18.6

---

A plane-wave DFT calculation with PBE was carried out for PaSBr3 after structural relaxation.

Cell: 8.163 8.163 8.163 Å, 118.96 105.46 104.44°
Sites, in units of the cell vectors:
Pa 0.500 0.000 0.000
Pa 0.500 0.500 0.500
S 0.346 0.096 0.250
S 0.654 0.904 0.750
Br 0.229 0.000 0.729
Br 0.229 0.500 0.229
Br 0.299 0.549 0.750
Br 0.701 0.451 0.250
Br 0.771 0.000 0.271
Br 0.771 0.500 0.771

Values from the calculation:
Space-group type: Imma, No. 74
Spin magnetization in Bohr magnetons per cell: 0.000
Distance to the lowest polymorph of the same formula in eV per formula unit: 0.06
Raw formation energy in eV per formula unit: -7.0

---

A plane-wave DFT calculation with PBE was carried out for TlInSe2 after structural relaxation.

Cell: 3.635 3.635 7.658 Å, 90.00 90.00 90.00°
Sites, in units of the cell vectors:
Tl 0.000 0.000 0.000
In 0.000 0.000 0.500
Se 0.500 0.500 0.282
Se 0.500 0.500 0.718

Values from the calculation:
Space-group type: P4/mmm, No. 123
N(E_F) in states/eV per atom: 0.56
Spin magnetization in Bohr magnetons per cell: 0.000
Raw formation energy in eV per formula unit: -0.7

---

A plane-wave DFT calculation with PBE was carried out for LaScNiRh after structural relaxation.

Cell: 4.820 4.820 4.820 Å, 60.00 60.00 60.00°
Sites, in units of the cell vectors:
La 0.000 0.000 0.000
Sc 0.500 0.500 0.500
Ni 0.250 0.250 0.250
Rh 0.750 0.750 0.750

Values from the calculation:
Space-group type: F-43m, No. 216
Calculated total energy in eV/atom: -6.590
N(E_F) in states/eV per atom: 0.80
Spin magnetization in Bohr magnetons per cell: 0.000

---

A plane-wave DFT calculation with PBE was carried out for ZnCu2Au after structural relaxation.

Cell: 4.678 4.678 4.658 Å, 102.26 102.26 34.97°
Sites, in units of the cell vectors:
Zn 0.000 0.000 0.000
Cu 0.255 0.255 0.763
Cu 0.745 0.745 0.237
Au 0.500 0.500 0.500

Values from the calculation:
Space-group type: C2/m, No. 12
Calculated total energy in eV/atom: -3.245
N(E_F) in states/eV per atom: 0.26
Spin magnetization in Bohr magnetons per cell: 0.000